[1]
# PrCdHgBi

A geometry-optimized PrCdHgBi structure (GGA-PBE, Alexandria via LeMat-Bulk).

The value obtained for the magnetic moment is 0.000 μB per formula unit. As for the energy relative to the elements: -0.471 eV/atom. The calculated total energy comes out at -2.94 eV per atom. For the energy above the most stable polymorph in this dataset, the calculation gives 0 meV/atom.

The structure belongs to space group Pmmm (No. 47); the cell edges are 4.5597, 4.7311 and 5.1290 Å and the angles 90.00°, 90.00° and 90.00°. Symmetry generates all atoms from Pr at (0.0000, 0.0000, 0.0000), Cd at (0.0000, 0.5000, 0.5000), Hg at (0.5000, 0.0000, 0.5000) and Bi at (0.5000, 0.5000, 0.0000).

***

[2]
# Tl2Te2Pt3

A geometry-optimized Tl2Te2Pt3 structure (GGA-PBE, Alexandria via LeMat-Bulk).

The value obtained for the magnetic moment is 0.000 μB per formula unit. The calculated total energy comes out at -4.37 eV per atom.

The structure belongs to space group P2_1/c (No. 14); the cell edges are 6.8934, 7.2479 and 7.1063 Å and the angles 90.00°, 107.63° and 90.00°. Symmetry generates all atoms from Tl at (0.1461, 0.1546, 0.3903), Te at (0.3584, 0.6673, 0.6261), Pt at (0.0000, 0.0000, 0.0000) and Pt at (0.2764, 0.5040, 0.2631).

***

[3]
# ZrCuSi

A geometry-optimized ZrCuSi structure (GGA-PBE, Alexandria via LeMat-Bulk).

The value obtained for the magnetic moment is 0.000 μB per formula unit. The calculated total energy comes out at -6.69 eV per atom.

The structure belongs to space group Pnma (No. 62); the cell edges are 6.5341, 3.9367 and 7.3211 Å and the angles 90.00°, 90.00° and 90.00°. Symmetry generates all atoms from Zr at (0.0100, 0.2500, 0.1933), Cu at (0.1696, 0.2500, 0.5762) and Si at (0.2203, 0.7500, 0.3988).

***

[4]
# LaTcAg

A geometry-optimized LaTcAg structure (GGA-PBE, Alexandria via LeMat-Bulk).

The value obtained for the magnetic moment is 1.165 μB per formula unit. As for the energy relative to the elements: 1.098 eV/atom. The calculated total energy comes out at -4.95 eV per atom. For the energy above the most stable polymorph in this dataset, the calculation gives 677 meV/atom.

The structure belongs to space group F-43m (No. 216); the cell edges are 6.7319, 6.7319 and 6.7319 Å and the angles 90.00°, 90.00° and 90.00°. Symmetry generates all atoms from La at (0.0000, 0.0000, 0.0000), Tc at (0.2500, 0.2500, 0.2500) and Ag at (0.2500, 0.2500, 0.7500).

***

[5]
# RbHgOsI2

A geometry-optimized RbHgOsI2 structure (GGA-PBE, Alexandria via LeMat-Bulk).

The value obtained for the magnetic moment is 3.398 μB per formula unit. The calculated total energy comes out at -2.44 eV per atom.

The structure belongs to space group P4/mmm (No. 123); the cell edges are 6.2276, 6.2276 and 5.3566 Å and the angles 90.00°, 90.00° and 90.00°. Symmetry generates all atoms from Rb at (0.0000, 0.0000, 0.0000), Hg at (0.5000, 0.5000, 0.5000), Os at (0.5000, 0.5000, 0.0000) and I at (0.0000, 0.5000, 0.5000).

***

[6]
# InTe

A geometry-optimized InTe structure (GGA-PBE, Alexandria via LeMat-Bulk).

The value obtained for the magnetic moment is 0.000 μB per formula unit. The calculated total energy comes out at -3.03 eV per atom.

The structure belongs to space group I-43m (No. 217); the cell edges are 9.4772, 9.4772 and 9.4772 Å and the angles 90.00°, 90.00° and 90.00°. Symmetry generates all atoms from In at (0.1441, 0.1441, 0.1441) and Te at (0.1776, 0.1776, 0.8224).

***

[7]
# TaSbPb2

A geometry-optimized TaSbPb2 structure (GGA-PBE, Alexandria via LeMat-Bulk).

The value obtained for the magnetic moment is 0.000 μB per formula unit. The calculated total energy comes out at -5.55 eV per atom.

The structure belongs to space group Cm (No. 8); the cell edges are 10.3342, 3.1292 and 7.5714 Å and the angles 90.00°, 111.90° and 90.00°. Symmetry generates all atoms from Ta at (0.0000, 0.0000, 0.0000), Sb at (0.2726, 0.0000, 0.0048), Pb at (0.1368, 0.5000, 0.3726) and Pb at (0.4531, 0.0000, 0.6343).

***

[8]
# LaY2Zr

A geometry-optimized LaY2Zr structure (GGA-PBE, Alexandria via LeMat-Bulk).

The value obtained for the magnetic moment is 0.000 μB per formula unit. As for the energy relative to the elements: 0.122 eV/atom. The calculated total energy comes out at -6.48 eV per atom. For the energy above the most stable polymorph in this dataset, the calculation gives 47 meV/atom.

The structure belongs to space group P4/mmm (No. 123); the cell edges are 4.9298, 4.9298 and 4.9859 Å and the angles 90.00°, 90.00° and 90.00°. Symmetry generates all atoms from La at (0.0000, 0.0000, 0.0000), Y at (0.0000, 0.5000, 0.5000) and Zr at (0.5000, 0.5000, 0.0000).